# NaAcEuBi | the Alexandria database | PBE | relaxed
# - Volume: 35.25 Å³ per atom
# - E: -20.9 eV/f.u.
# - Spin magnetization: 8.1 μB per formula unit
# - E_form: -0.336 eV per atom
data_NaAcEuBi
_space_group_name_H-M_alt 'F -4 3 m'
_space_group_IT_number 216
_space_group_name_Hall 'F -4 2 3'
_cell_length_a 8.262
_cell_length_b 8.262
_cell_length_c 8.262
_cell_angle_alpha 90.00
_cell_angle_beta 90.00
_cell_angle_gamma 90.00
loop_
_atom_site_label
_atom_site_fract_x
_atom_site_fract_y
_atom_site_fract_z
_atom_site_occupancy
Na1 0.000 0.000 0.000 1
Ac1 0.250 0.250 0.250 1
Eu1 0.250 0.250 0.750 1
Bi1 0.000 0.000 0.500 1